# ScPt2Cl

An optimized crystal structure of ScPt2Cl (PBE, Alexandria).

Values from the calculation:
Formation energy from raw total energies ... -520 meV per atom
Total magnetic moment ... 0.000 μB per atom
Energy relative to the lowest polymorph listed for this composition ... 29.9 kJ/mol of atoms

Unit cell a=8.2343 b=8.2343 c=4.9255 alpha=90.00 beta=90.00 gamma=90.00
Space group I-42d (No. 122)
One atom of each set of equivalent atoms:
Sc1 0.0000 0.0000 0.0000 x4
Pt1 0.2045 0.2500 0.1250 x8
Cl1 0.0000 0.0000 0.5000 x4